Compound: MnCrGaAu
Source: Alexandria via LeMat-Bulk
Functional: PBE-GGA
Structure: relaxed

Unit cell a=6.260 b=6.260 c=6.260 alpha=90.00 beta=90.00 gamma=90.00
Space group F-43m (No. 216)
Unique sites:
Mn: 0.000 0.000 0.000 x4
Cr: 0.250 0.250 0.250 x4
Ga: 0.000 0.000 0.500 x4
Au: 0.250 0.250 0.750 x4

Calculated values
DFT total energy: -6.249 eV/atom
ρ: 10.1 g/cm3
volume: 15.33 A^3/atom
total moment: 0.60 μB/f.u.